# 1
The following is a DFT calculation (PBE) of a relaxed BaTl2TcO4 crystal.

Values from the calculation:
The space-group type is P1, No. 1. Its uncorrected formation energy is -1.322 eV/atom.

Cell lengths 5.4442, 6.0215, 6.7782 Å; angles 65.21, 66.71, 87.41 degrees
Closest atoms and distances in Å follow each position.
Sites, in units of the cell vectors:
Ba  0.0000  0.0000  0.0000  4 O 2.59-2.69
Tl  0.5437  0.5747  0.8669  2 O 2.44-2.56
Tl  0.6227  0.3105  0.4086  2 O 2.47-2.66
Tc  0.2535  0.7372  0.4632  4 O 1.81-1.96
O  0.2894  0.4302  0.7068  1 Tc 1.96
O  0.2893  0.8847  0.6546  1 Tc 1.92
O  0.4632  0.9855  0.1647  1 Tc 1.85
O  0.9584  0.6627  0.4300  1 Tc 1.81

=====

# 2
The following is a DFT calculation (PBE) of a relaxed NdBS3 crystal.

Values from the calculation:
The space-group type is C2/m, No. 12. Its uncorrected formation energy is -1.159 eV/atom.

Cell lengths 6.7403, 6.7403, 4.4163 Å; angles 92.08, 92.08, 75.22 degrees
Closest atoms and distances in Å follow each position.
Sites, in units of the cell vectors:
Nd  0.2125  0.2125  0.2376  8 S 2.90-3.17
Nd  0.7875  0.7875  0.7624  8 S 2.90-3.17
B  0.3361  0.6639  0.5000  4 S 1.91-1.95
B  0.6639  0.3361  0.5000  4 S 1.91-1.95
S  0.0867  0.6684  0.2777  1 B 1.91
S  0.3316  0.9133  0.7223  1 B 1.91
S  0.4068  0.4068  0.7174  2 B 1.95
S  0.5932  0.5932  0.2826  2 B 1.95
S  0.6684  0.0867  0.2777  1 B 1.91
S  0.9133  0.3316  0.7223  1 B 1.91

=====

# 3
The following is a DFT calculation (PBE) of a relaxed NiBiP2S crystal.

Values from the calculation:
The space-group type is P4/mmm, No. 123. Its uncorrected formation energy is 0.373 eV/atom.

Cell lengths 4.3820, 4.3820, 4.9096 Å; angles 90.00, 90.00, 90.00 degrees
Closest atoms and distances in Å follow each position.
Sites, in units of the cell vectors:
Ni  0.0000  0.0000  0.0000  4 P 2.19
Bi  0.5000  0.5000  0.5000  4 S 3.10, 8 P 3.29
P  0.0000  0.5000  0.0000  2 Ni 2.19
P  0.5000  0.0000  0.0000  2 Ni 2.19
S  0.0000  0.0000  0.5000  2 Ni 2.45

=====

# 4
The following is a DFT calculation (PBE) of a relaxed CeY2Zr crystal.

Values from the calculation:
The space-group type is P4/mmm, No. 123. The total energy comes out at -26.45 eV for the cell shown.

Cell lengths 4.0660, 4.0660, 7.0817 Å; angles 90.00, 90.00, 90.00 degrees
Closest atoms and distances in Å follow each position.
Sites, in units of the cell vectors:
Ce  0.0000  0.0000  0.0000  8 Y 3.44, 2 Zr 3.54
Y  0.5000  0.5000  0.2658  1 Y 3.32, 4 Zr 3.32, 4 Ce 3.44
Y  0.5000  0.5000  0.7342  1 Y 3.32, 4 Zr 3.32, 4 Ce 3.44
Zr  0.0000  0.0000  0.5000  8 Y 3.32, 2 Ce 3.54

=====

# 5
The following is a DFT calculation (PBE) of a relaxed Y2Ho7Tc2 crystal.

Values from the calculation:
The space-group type is Imm2, No. 44. The total energy comes out at -64.76 eV for the cell shown.

Cell lengths 10.7761, 10.7761, 10.7761 Å; angles 160.97, 55.27, 128.63 degrees
Closest atoms and distances in Å follow each position.
Sites, in units of the cell vectors:
Y  0.2450  0.0000  0.2450  8 Ho 3.42-3.78, 2 Y 3.56
Y  0.7550  0.0000  0.7550  8 Ho 3.42-3.78, 2 Y 3.56
Ho  0.0675  0.4862  0.5813  3 Tc 2.82-3.04, 1 Ho 3.11
Ho  0.1904  0.3050  0.8853  2 Tc 2.89
Ho  0.4197  0.3050  0.1147  2 Tc 2.89
Ho  0.5392  0.0392  0.5000  3 Tc 2.81-2.88
Ho  0.5633  0.7008  0.8625  1 Tc 2.73
Ho  0.8382  0.7008  0.1375  1 Tc 2.73
Ho  0.9049  0.4862  0.4187  3 Tc 2.82-3.04, 1 Ho 3.11
Tc  0.2380  0.7380  0.5000  7 Ho 2.81-2.89
Tc  0.7813  0.7813  0.0000  8 Ho 2.73-3.04

=====

# 6
The following is a DFT calculation (PBE) of a relaxed NbSb crystal.

Values from the calculation:
The space-group type is I4/m, No. 87. Its uncorrected formation energy is 0.360 eV/atom.

Cell lengths 8.6722, 8.6722, 8.6722 Å; angles 92.15, 92.15, 157.68 degrees
Closest atoms and distances in Å follow each position.
Sites, in units of the cell vectors:
Nb  0.1675  0.2824  0.4498  2 Nb 2.71, 4 Sb 2.79-2.88
Nb  0.2824  0.8325  0.1149  2 Nb 2.71, 4 Sb 2.79-2.88
Nb  0.7176  0.1675  0.8851  2 Nb 2.71, 4 Sb 2.79-2.88
Nb  0.8325  0.7176  0.5502  2 Nb 2.71, 4 Sb 2.79-2.88
Sb  0.0574  0.7771  0.8345  4 Nb 2.79-2.88
Sb  0.2229  0.0574  0.2803  4 Nb 2.79-2.88
Sb  0.7771  0.9426  0.7197  4 Nb 2.79-2.88
Sb  0.9426  0.2229  0.1655  4 Nb 2.79-2.88

=====

# 7
The following is a DFT calculation (PBE) of a relaxed TbMgSc crystal.

Values from the calculation:
The space-group type is Cmc2_1, No. 36. The total energy comes out at -25.04 eV for the cell shown.

Cell lengths 8.6294, 8.6294, 5.2724 Å; angles 90.00, 90.00, 155.86 degrees
Closest atoms and distances in Å follow each position.
Sites, in units of the cell vectors:
Tb  0.0630  0.9370  0.5000  6 Sc 3.29-3.42, 2 Mg 3.36, 4 Tb 3.39-3.61
Tb  0.9370  0.0630  0.0000  6 Sc 3.29-3.42, 2 Mg 3.36, 4 Tb 3.39-3.61
Mg  0.2689  0.7311  0.9988  4 Sc 3.24-3.35, 6 Mg 3.26-3.61, 2 Tb 3.36
Mg  0.7311  0.2689  0.4988  4 Sc 3.24-3.35, 6 Mg 3.26-3.61, 2 Tb 3.36
Sc  0.3908  0.6092  0.4999  4 Mg 3.24-3.35, 6 Tb 3.29-3.42, 2 Sc 3.61
Sc  0.6092  0.3908  0.9999  4 Mg 3.24-3.35, 6 Tb 3.29-3.42, 2 Sc 3.61

=====

# 8
The following is a DFT calculation (PBE) of a relaxed TiVRu2 crystal.

Values from the calculation:
The space-group type is Fm-3m, No. 225. The total energy comes out at -37.49 eV for the cell shown.

Cell lengths 4.3069, 4.3069, 4.3069 Å; angles 60.00, 60.00, 60.00 degrees
Closest atoms and distances in Å follow each position.
Sites, in units of the cell vectors:
Ti  0.0000  0.0000  0.0000  8 Ru 2.64
V  0.5000  0.5000  0.5000  8 Ru 2.64
Ru  0.2500  0.2500  0.2500  4 Ti 2.64, 4 V 2.64
Ru  0.7500  0.7500  0.7500  4 Ti 2.64, 4 V 2.64